Computed, not measured: an optimized crystal structure of Sc2NiIrC at the PBE-GGA level of DFT.

a = 4.5759 Å, b = 4.5759 Å, c = 3.5509 Å
α = 90.00°, β = 90.00°, γ = 90.00°
Space group P4/mmm (No. 123)
Inequivalent atoms, fractional coordinates:
Sc 0.0000 0.5000 0.0000 (multiplicity 2)
Ni 0.0000 0.0000 0.5000 (multiplicity 1)
Ir 0.5000 0.5000 0.5000 (multiplicity 1)
C 0.0000 0.0000 0.0000 (multiplicity 1)

Summary:
- Energy of formation from the pure elements: -2.37 eV/f.u.
- DFT total energy: -7.779 eV per atom
- Fermi-level density of states: 3.620 states/eV per cell

Computed, not measured: an optimized crystal structure of Sr2NiIrC at the PBE-GGA level of DFT.

a = 5.4381 Å, b = 5.4381 Å, c = 3.8511 Å
α = 90.00°, β = 90.00°, γ = 90.00°
Space group P4/mmm (No. 123)
Inequivalent atoms, fractional coordinates:
Sr 0.0000 0.5000 0.0000 (multiplicity 2)
Ni 0.0000 0.0000 0.5000 (multiplicity 1)
Ir 0.5000 0.5000 0.5000 (multiplicity 1)
C 0.5000 0.5000 0.0000 (multiplicity 1)

Summary:
- Energy of formation from the pure elements: 0.39 eV/f.u.
- DFT total energy: -5.369 eV per atom
- Fermi-level density of states: 3.998 states/eV per cell

Computed, not measured: an optimized crystal structure of Ni2IrWC at the PBE-GGA level of DFT.

a = 4.4907 Å, b = 4.4907 Å, c = 4.7092 Å
α = 90.00°, β = 90.00°, γ = 90.00°
Space group P4/mmm (No. 123)
Inequivalent atoms, fractional coordinates:
Ni 0.0000 0.5000 0.0000 (multiplicity 2)
Ir 0.0000 0.0000 0.5000 (multiplicity 1)
W 0.0000 0.0000 0.0000 (multiplicity 1)
C 0.5000 0.5000 0.5000 (multiplicity 1)

Summary:
- Energy of formation from the pure elements: 13.76 eV/f.u.
- DFT total energy: -5.769 eV per atom
- Fermi-level density of states: 5.752 states/eV per cell

Computed, not measured: an optimized crystal structure of Y2NiIrC at the PBE-GGA level of DFT.

a = 4.9694 Å, b = 4.9694 Å, c = 3.5713 Å
α = 90.00°, β = 90.00°, γ = 90.00°
Space group P4/mmm (No. 123)
Inequivalent atoms, fractional coordinates:
Y 0.0000 0.5000 0.0000 (multiplicity 2)
Ni 0.0000 0.0000 0.5000 (multiplicity 1)
Ir 0.5000 0.5000 0.5000 (multiplicity 1)
C 0.0000 0.0000 0.0000 (multiplicity 1)

Summary:
- Polymorph energy (0 for the lowest one): 0 kJ/mol of formula units
- Energy of formation from the pure elements: -2.12 eV/f.u.
- DFT total energy: -7.784 eV per atom
- Fermi-level density of states: 3.260 states/eV per cell

Computed, not measured: an optimized crystal structure of Y2NiIrC at the PBE-GGA level of DFT.

a = 4.9535 Å, b = 4.9535 Å, c = 3.8194 Å
α = 90.00°, β = 90.00°, γ = 90.00°
Space group P4/mmm (No. 123)
Inequivalent atoms, fractional coordinates:
Y 0.0000 0.5000 0.0000 (multiplicity 2)
Ni 0.0000 0.0000 0.5000 (multiplicity 1)
Ir 0.5000 0.5000 0.5000 (multiplicity 1)
C 0.5000 0.5000 0.0000 (multiplicity 1)

Summary:
- Polymorph energy (0 for the lowest one): 6 kJ/mol of formula units
- Energy of formation from the pure elements: -2.06 eV/f.u.
- DFT total energy: -7.771 eV per atom
- Fermi-level density of states: 2.817 states/eV per cell

Computed, not measured: an optimized crystal structure of NpIrC at the PBE-GGA level of DFT.

a = 2.8560 Å, b = 4.2068 Å, c = 7.1501 Å
α = 90.00°, β = 90.00°, γ = 90.00°
Space group Pmmn (No. 59, origin choice 2)
Inequivalent atoms, fractional coordinates:
Np 0.2500 0.2500 0.1499 (multiplicity 2)
Ir 0.2500 0.7500 0.4286 (multiplicity 2)
C 0.2500 0.2500 0.7867 (multiplicity 2)

Summary:
- Energy of formation from the pure elements: 0.82 eV/f.u.
- DFT total energy: -10.069 eV per atom
- Fermi-level density of states: 9.205 states/eV per cell

Computed, not measured: an optimized crystal structure of IrCO2 at the PBE-GGA level of DFT.

a = 2.7145 Å, b = 2.7145 Å, c = 31.1411 Å
α = 90.00°, β = 90.00°, γ = 120.00°
Space group R-3m (No. 166, hexagonal axes)
Inequivalent atoms, fractional coordinates:
Ir 0.0000 0.0000 0.0000 (multiplicity 3)
C 0.0000 0.0000 0.5000 (multiplicity 3)
O 0.0000 0.0000 0.4623 (multiplicity 6)

Summary:
- Formation energy from raw total energies: -233 meV/atom
- DFT total energy: -7.233 eV per atom
- Fermi-level density of states: 6.072 states/eV per cell

Computed, not measured: an optimized crystal structure of IrCO2 at the PBE-GGA level of DFT.

a = 4.5937 Å, b = 4.5937 Å, c = 7.5276 Å
α = 90.00°, β = 90.00°, γ = 90.00°
Space group I-42d (No. 122)
Inequivalent atoms, fractional coordinates:
Ir 0.0000 0.0000 0.0000 (multiplicity 4)
C 0.0000 0.0000 0.5000 (multiplicity 4)
O 0.1220 0.2500 0.6250 (multiplicity 8)

Summary:
- Formation energy from raw total energies: 1274 meV/atom
- DFT total energy: -5.726 eV per atom
- Fermi-level density of states: 20.317 states/eV per cell

Computed, not measured: an optimized crystal structure of IrCO2 at the PBE-GGA level of DFT.

a = 2.6719 Å, b = 2.6719 Å, c = 17.6356 Å
α = 90.00°, β = 90.00°, γ = 120.00°
Space group R-3m (No. 166, hexagonal axes)
Inequivalent atoms, fractional coordinates:
Ir 0.0000 0.0000 0.0000 (multiplicity 3)
C 0.0000 0.0000 0.5000 (multiplicity 3)
O 0.0000 0.0000 0.1131 (multiplicity 6)

Summary:
- Formation energy from raw total energies: 875 meV/atom
- DFT total energy: -6.126 eV per atom
- Fermi-level density of states: 7.012 states/eV per cell

Computed, not measured: an optimized crystal structure of IrCO4 at the PBE-GGA level of DFT.

a = 6.6021 Å, b = 6.6021 Å, c = 7.7404 Å
α = 90.00°, β = 90.00°, γ = 90.00°
Space group I4_1md (No. 109)
Inequivalent atoms, fractional coordinates:
Ir 0.0000 0.0000 0.0000 (multiplicity 4)
C 0.0000 0.0000 0.4570 (multiplicity 4)
O 0.0000 0.2434 0.1360 (multiplicity 8)
O 0.0000 0.3222 0.7070 (multiplicity 8)

Summary:
- Formation energy from raw total energies: -622 meV/atom
- DFT total energy: -6.941 eV per atom
- Fermi-level density of states: 10.660 states/eV per cell

Computed, not measured: an optimized crystal structure of IrC3O at the PBE-GGA level of DFT.

a = 3.9297 Å, b = 3.9297 Å, c = 3.9297 Å
α = 90.00°, β = 90.00°, γ = 90.00°
Space group Pm-3m (No. 221)
Inequivalent atoms, fractional coordinates:
Ir 0.0000 0.0000 0.0000 (multiplicity 1)
C 0.0000 0.0000 0.5000 (multiplicity 3)
O 0.5000 0.5000 0.5000 (multiplicity 1)

Summary:
- Formation energy from raw total energies: 2335 meV/atom
- DFT total energy: -5.963 eV per atom
- Fermi-level density of states: 2.570 states/eV per cell

Computed, not measured: an optimized crystal structure of PIrCO2 at the PBE-GGA level of DFT.

a = 3.5661 Å, b = 3.5661 Å, c = 3.8991 Å
α = 90.00°, β = 90.00°, γ = 90.00°
Space group P4/mmm (No. 123)
Inequivalent atoms, fractional coordinates:
P 0.0000 0.0000 0.0000 (multiplicity 1)
Ir 0.5000 0.5000 0.0000 (multiplicity 1)
C 0.0000 0.0000 0.5000 (multiplicity 1)
O 0.0000 0.5000 0.5000 (multiplicity 2)

Summary:
- Formation energy from raw total energies: 1210 meV/atom
- Polymorph energy (0 for the lowest one): 110 kJ/mol of formula units
- DFT total energy: -5.472 eV per atom
- Fermi-level density of states: 3.861 states/eV per cell

Computed, not measured: an optimized crystal structure of PIrCO2 at the PBE-GGA level of DFT.

a = 3.6507 Å, b = 3.6507 Å, c = 5.3383 Å
α = 90.00°, β = 90.00°, γ = 90.00°
Space group P4/mmm (No. 123)
Inequivalent atoms, fractional coordinates:
P 0.0000 0.0000 0.0000 (multiplicity 1)
Ir 0.0000 0.0000 0.5000 (multiplicity 1)
C 0.5000 0.5000 0.0000 (multiplicity 1)
O 0.0000 0.5000 0.5000 (multiplicity 2)

Summary:
- Formation energy from raw total energies: 983 meV/atom
- Polymorph energy (0 for the lowest one): 0 kJ/mol of formula units
- DFT total energy: -5.699 eV per atom
- Fermi-level density of states: 3.906 states/eV per cell

Computed, not measured: an optimized crystal structure of IrPbC2O8 at the PBE-GGA level of DFT.

a = 7.7170 Å, b = 4.9255 Å, c = 7.3565 Å
α = 90.00°, β = 95.10°, γ = 90.00°
Space group C2/m (No. 12)
Inequivalent atoms, fractional coordinates:
Ir 0.0000 0.0000 0.0000 (multiplicity 2)
Pb 0.0000 0.0000 0.5000 (multiplicity 2)
C 0.1373 0.5000 0.7948 (multiplicity 4)
O 0.0204 0.2687 0.8062 (multiplicity 8)
O 0.1973 0.5000 0.6337 (multiplicity 4)
O 0.2487 0.5000 0.9548 (multiplicity 4)

Summary:
- Formation energy from raw total energies: -859 meV/atom
- DFT total energy: -6.749 eV per atom
- Fermi-level density of states: 9.481 states/eV per cell

Computed, not measured: an optimized crystal structure of RbIrC2O8 at the PBE-GGA level of DFT.

a = 7.6995 Å, b = 4.9582 Å, c = 8.2438 Å
α = 90.00°, β = 96.46°, γ = 90.00°
Space group C2/m (No. 12)
Inequivalent atoms, fractional coordinates:
Rb 0.0000 0.0000 0.0000 (multiplicity 2)
Ir 0.0000 0.0000 0.5000 (multiplicity 2)
C 0.1289 0.5000 0.3205 (multiplicity 4)
O 0.0105 0.2719 0.3322 (multiplicity 8)
O 0.1887 0.5000 0.1816 (multiplicity 4)
O 0.2474 0.5000 0.4651 (multiplicity 4)

Summary:
- Formation energy from raw total energies: -872 meV/atom
- DFT total energy: -6.534 eV per atom
- Fermi-level density of states: 8.693 states/eV per cell

Computed, not measured: an optimized crystal structure of IrCSe2O at the PBE-GGA level of DFT.

a = 4.4401 Å, b = 4.4401 Å, c = 4.0043 Å
α = 90.00°, β = 90.00°, γ = 90.00°
Space group P4/mmm (No. 123)
Inequivalent atoms, fractional coordinates:
Ir 0.0000 0.0000 0.0000 (multiplicity 1)
C 0.5000 0.5000 0.0000 (multiplicity 1)
Se 0.0000 0.5000 0.5000 (multiplicity 2)
O 0.0000 0.0000 0.5000 (multiplicity 1)

Summary:
- Formation energy from raw total energies: 1920 meV/atom
- DFT total energy: -4.082 eV per atom
- Fermi-level density of states: 4.168 states/eV per cell

Computed, not measured: an optimized crystal structure of SiIr2CO at the PBE-GGA level of DFT.

a = 4.1693 Å, b = 4.1693 Å, c = 3.6029 Å
α = 90.00°, β = 90.00°, γ = 90.00°
Space group P4/mmm (No. 123)
Inequivalent atoms, fractional coordinates:
Si 0.0000 0.0000 0.0000 (multiplicity 1)
Ir 0.0000 0.5000 0.5000 (multiplicity 2)
C 0.5000 0.5000 0.0000 (multiplicity 1)
O 0.5000 0.5000 0.5000 (multiplicity 1)

Summary:
- Formation energy from raw total energies: 1526 meV/atom
- DFT total energy: -5.939 eV per atom
- Fermi-level density of states: 4.586 states/eV per cell

Computed, not measured: an optimized crystal structure of TlIrCO5 at the PBE-GGA level of DFT.

a = 6.6986 Å, b = 8.4692 Å, c = 7.0928 Å
α = 90.00°, β = 116.99°, γ = 90.00°
Space group C2/c (No. 15)
Inequivalent atoms, fractional coordinates:
Tl 0.0000 0.1507 0.2500 (multiplicity 4)
Ir 0.0000 0.5000 0.0000 (multiplicity 4)
C 0.0000 0.1915 0.7500 (multiplicity 4)
O 0.0000 0.4070 0.2500 (multiplicity 4)
O 0.0935 0.2791 0.6424 (multiplicity 8)
O 0.1673 0.0860 0.9056 (multiplicity 8)

Summary:
- Formation energy from raw total energies: -654 meV/atom
- DFT total energy: -6.310 eV per atom
- Fermi-level density of states: 6.926 states/eV per cell

Computed, not measured: an optimized crystal structure of Tl2IrC2O6 at the PBE-GGA level of DFT.

a = 12.0100 Å, b = 5.1369 Å, c = 6.1860 Å
α = 90.00°, β = 111.12°, γ = 90.00°
Space group C2/m (No. 12)
Inequivalent atoms, fractional coordinates:
Tl 0.1874 0.0000 0.2320 (multiplicity 4)
Ir 0.0000 0.0000 0.5000 (multiplicity 2)
C 0.0084 0.5000 0.7318 (multiplicity 4)
O 0.0710 0.2833 0.7400 (multiplicity 8)
O 0.0978 0.5000 0.2781 (multiplicity 4)

Summary:
- Formation energy from raw total energies: -920 meV/atom
- DFT total energy: -6.537 eV per atom
- Fermi-level density of states: 10.933 states/eV per cell

Computed, not measured: an optimized crystal structure of IrOs3C at the PBE-GGA level of DFT.

a = 4.7011 Å, b = 4.7011 Å, c = 4.7011 Å
α = 90.00°, β = 90.00°, γ = 90.00°
Space group Pm-3m (No. 221)
Inequivalent atoms, fractional coordinates:
Ir 0.0000 0.0000 0.0000 (multiplicity 1)
Os 0.0000 0.0000 0.5000 (multiplicity 3)
C 0.5000 0.5000 0.5000 (multiplicity 1)

Summary:
- Polymorph energy (0 for the lowest one): 1506 kJ/mol of formula units
- Energy of formation from the pure elements: 18.52 eV/f.u.
- DFT total energy: -6.650 eV per atom
- Fermi-level density of states: 6.854 states/eV per cell

Computed, not measured: an optimized crystal structure of IrOsC2 at the PBE-GGA level of DFT.

a = 5.4261 Å, b = 5.4261 Å, c = 5.4261 Å
α = 90.00°, β = 90.00°, γ = 90.00°
Space group Fm-3m (No. 225)
Inequivalent atoms, fractional coordinates:
Ir 0.0000 0.0000 0.0000 (multiplicity 4)
Os 0.0000 0.0000 0.5000 (multiplicity 4)
C 0.2500 0.2500 0.2500 (multiplicity 8)

Summary:
- Polymorph energy (0 for the lowest one): 362 kJ/mol of formula units
- Energy of formation from the pure elements: 6.27 eV/f.u.
- DFT total energy: -8.068 eV per atom
- Fermi-level density of states: 6.615 states/eV per cell

Computed, not measured: an optimized crystal structure of IrOs3C at the PBE-GGA level of DFT.

a = 4.0405 Å, b = 4.0405 Å, c = 4.0405 Å
α = 90.00°, β = 90.00°, γ = 90.00°
Space group Pm-3m (No. 221)
Inequivalent atoms, fractional coordinates:
Ir 0.0000 0.0000 0.0000 (multiplicity 1)
Os 0.0000 0.5000 0.5000 (multiplicity 3)
C 0.5000 0.5000 0.5000 (multiplicity 1)

Summary:
- Polymorph energy (0 for the lowest one): 0 kJ/mol of formula units
- Energy of formation from the pure elements: 2.92 eV/f.u.
- DFT total energy: -9.771 eV per atom
- Fermi-level density of states: 4.190 states/eV per cell

Computed, not measured: an optimized crystal structure of IrOsC3 at the PBE-GGA level of DFT.

a = 3.9410 Å, b = 3.9410 Å, c = 3.9410 Å
α = 90.00°, β = 90.00°, γ = 90.00°
Space group Pm-3m (No. 221)
Inequivalent atoms, fractional coordinates:
Ir 0.0000 0.0000 0.0000 (multiplicity 1)
Os 0.5000 0.5000 0.5000 (multiplicity 1)
C 0.0000 0.0000 0.5000 (multiplicity 3)

Summary:
- Polymorph energy (0 for the lowest one): 170 kJ/mol of formula units
- Energy of formation from the pure elements: 13.50 eV/f.u.
- DFT total energy: -6.853 eV per atom
- Fermi-level density of states: 4.878 states/eV per cell

Computed, not measured: an optimized crystal structure of IrOsC3 at the PBE-GGA level of DFT.

a = 3.9545 Å, b = 3.9545 Å, c = 3.9545 Å
α = 90.00°, β = 90.00°, γ = 90.00°
Space group Pm-3m (No. 221)
Inequivalent atoms, fractional coordinates:
Ir 0.0000 0.0000 0.0000 (multiplicity 1)
Os 0.5000 0.5000 0.5000 (multiplicity 1)
C 0.0000 0.5000 0.5000 (multiplicity 3)

Summary:
- Polymorph energy (0 for the lowest one): 0 kJ/mol of formula units
- Energy of formation from the pure elements: 11.74 eV/f.u.
- DFT total energy: -7.205 eV per atom
- Fermi-level density of states: 3.692 states/eV per cell

Computed, not measured: an optimized crystal structure of Ir2OsC at the PBE-GGA level of DFT.

a = 5.0797 Å, b = 5.0797 Å, c = 10.1196 Å
α = 90.00°, β = 90.00°, γ = 90.00°
Space group I-42d (No. 122)
Inequivalent atoms, fractional coordinates:
Ir 0.1792 0.2500 0.1250 (multiplicity 8)
Os 0.0000 0.0000 0.5000 (multiplicity 4)
C 0.0000 0.0000 0.0000 (multiplicity 4)

Summary:
- Energy of formation from the pure elements: 3.67 eV/f.u.
- DFT total energy: -8.627 eV per atom
- Fermi-level density of states: 9.491 states/eV per cell

Computed, not measured: an optimized crystal structure of IrOsC2 at the PBE-GGA level of DFT.

a = 4.4193 Å, b = 4.4193 Å, c = 10.0460 Å
α = 90.00°, β = 90.00°, γ = 90.00°
Space group I-42d (No. 122)
Inequivalent atoms, fractional coordinates:
Ir 0.0000 0.0000 0.0000 (multiplicity 4)
Os 0.0000 0.0000 0.5000 (multiplicity 4)
C 0.2405 0.2500 0.6250 (multiplicity 8)

Summary:
- Polymorph energy (0 for the lowest one): 0 kJ/mol of formula units
- Energy of formation from the pure elements: 2.52 eV/f.u.
- DFT total energy: -9.006 eV per atom
- Fermi-level density of states: 4.170 states/eV per cell